A relaxed Cs2PaTiS6 crystal. Source: Alexandria via LeMat-Bulk, functional PBE-GGA.

Output
For the formation energy (no corrections), the calculation gives -1317 meV per atom. As for the total energy: -0.419 Ry per atom. As for the volume: 325.5 Å³/cell.

Unit cell a=7.5758 b=7.5758 c=6.5493 alpha=90.00 beta=90.00 gamma=120.00
Space group P-3m1 (No. 164)
Inequivalent atoms, fractional coordinates:
Cs  0.3333  0.6667  0.2068 x2
Pa  0.0000  0.0000  0.5000 x1
Ti  0.0000  0.0000  0.0000 x1
S  0.1482  0.2964  0.7727 x6

A relaxed Cs2PaTlS4 crystal. Source: Alexandria via LeMat-Bulk, functional PBE-GGA.

Output
For the formation energy (no corrections), the calculation gives -1277 meV per atom. As for the total energy: -0.370 Ry per atom. As for the volume: 265.8 Å³/cell.

Unit cell a=7.889 b=4.266 c=8.290 alpha=90.00 beta=107.71 gamma=90.00
Space group P2/m (No. 10)
Inequivalent atoms, fractional coordinates:
Cs  0.000  0.000  0.000 x1
Cs  0.500  0.500  0.000 x1
Pa  0.000  0.500  0.500 x1
Tl  0.500  0.000  0.500 x1
S  0.191  0.000  0.681 x2
S  0.208  0.500  0.316 x2

Q: What is the formation energy (no corrections) in the second record?
A: -1277 meV per atom

Q: Among the records above, which one has the lowest formation energy (no corrections)?
A: Cs2PaTiS6